[1]
The following is a DFT calculation (PBE) of crystalline Ce2Tm5Ni4 at its relaxed geometry.

Cell lengths 3.3370, 7.1413, 10.9295 Å; angles 82.83, 98.78, 90.00 degrees
Site moments in Bohr magnetons follow the coordinates.
Sites, in units of the cell vectors:
Ce 0.9264 0.6425 0.8528  0.57
Ce 0.0736 0.3575 0.1472  0.57
Tm 0.1506 0.9030 0.3013  0.05
Tm 0.8494 0.0970 0.6987  0.05
Tm 0.2210 0.3274 0.4421  0.02
Tm 0.5000 0.0000 0.0000  0.07
Tm 0.7790 0.6726 0.5579  0.02
Ni 0.6511 0.5935 0.3022  -0.01
Ni 0.0524 0.7066 0.1048  0.00
Ni 0.3489 0.4065 0.6978  -0.01
Ni 0.9476 0.2934 0.8952  0.00

Values from the calculation:
DFT total energy in eV/atom: -5.264
Density of states at the Fermi level in states/eV/f.u.: 18.4

***

[2]
The following is a DFT calculation (PBE) of crystalline Ce2TmNi at its relaxed geometry.

Cell lengths 3.5544, 3.5544, 7.8964 Å; angles 90.00, 90.00, 90.00 degrees
Sites, in units of the cell vectors:
Ni 0.5000 0.5000 0.0000
Tm 0.5000 0.5000 0.5000
Ce 0.0000 0.0000 0.8132
Ce 0.0000 0.0000 0.1868

Values from the calculation:
E above lowest polymorph in meV/atom: 0
Density of states at the Fermi level in states/eV/f.u.: 9.8

***

[3]
The following is a DFT calculation (PBE) of crystalline Ce2TmNi9 at its relaxed geometry.

Cell lengths 4.9197, 4.9197, 8.7040 Å; angles 73.58, 73.58, 60.00 degrees
Sites, in units of the cell vectors:
Ce 0.8618 0.8618 0.4147
Ce 0.1382 0.1382 0.5853
Tm 0.0000 0.0000 0.0000
Ni 0.6672 0.6672 0.9986
Ni 0.3328 0.3328 0.0014
Ni 0.5000 0.5000 0.5000
Ni 0.4186 0.4186 0.2443
Ni 0.9185 0.4186 0.2443
Ni 0.4186 0.9185 0.2443
Ni 0.5814 0.5814 0.7557
Ni 0.5814 0.0815 0.7557
Ni 0.0815 0.5814 0.7557

Values from the calculation:
DFT total energy in eV/atom: -6.101
Density of states at the Fermi level in states/eV/f.u.: 14.7

***

[4]
The following is a DFT calculation (PBE) of crystalline CeUNi17 at its relaxed geometry.

Cell lengths 6.2374, 6.2374, 6.2374 Å; angles 82.84, 82.84, 82.84 degrees
Site moments in Bohr magnetons follow the coordinates.
Sites, in units of the cell vectors:
Ce 0.6633 0.6633 0.6633  -0.35
U 0.3328 0.3328 0.3328  -1.45
Ni 0.2983 0.0022 0.6999  0.33
Ni 0.6999 0.2983 0.0022  0.33
Ni 0.0022 0.6999 0.2983  0.33
Ni 0.2983 0.6999 0.0022  0.33
Ni 0.0022 0.2983 0.6999  0.33
Ni 0.6999 0.0022 0.2983  0.33
Ni 0.3458 0.8478 0.3458  0.37
Ni 0.3458 0.3458 0.8478  0.37
Ni 0.8478 0.3458 0.3458  0.37
Ni 0.6501 0.1590 0.6501  0.38
Ni 0.6501 0.6501 0.1590  0.38
Ni 0.1590 0.6501 0.6501  0.38
Ni 0.9997 0.5006 0.9997  0.44
Ni 0.9997 0.9997 0.5006  0.44
Ni 0.5006 0.9997 0.9997  0.44
Ni 0.9022 0.9022 0.9022  0.34
Ni 0.1023 0.1023 0.1023  0.32

Values from the calculation:
DFT total energy in eV/atom: -6.245
Density of states at the Fermi level in states/eV/f.u.: 25.3

***

[5]
The following is a DFT calculation (PBE) of crystalline CeUNi at its relaxed geometry.

Cell lengths 3.3480, 3.3480, 10.3329 Å; angles 90.00, 90.00, 90.00 degrees
Sites, in units of the cell vectors:
Ni 0.0000 0.5000 0.5629
Ni 0.5000 0.0000 0.4371
Ce 0.0000 0.5000 0.2913
Ce 0.5000 0.0000 0.7087
U 0.5000 0.0000 0.0779
U 0.0000 0.5000 0.9221

Values from the calculation:
DFT total energy in eV/atom: -7.635
Density of states at the Fermi level in states/eV/f.u.: 6.0

***

[6]
The following is a DFT calculation (PBE) of crystalline CeUNi2 at its relaxed geometry.

Cell lengths 3.6322, 3.6322, 7.4247 Å; angles 75.84, 75.84, 60.00 degrees
Site moments in Bohr magnetons follow the coordinates.
Sites, in units of the cell vectors:
Ni 0.7433 0.7433 0.7702  -0.05
Ni 0.2567 0.2567 0.2298  -0.05
U 0.0000 0.0000 0.0000  1.29
Ce 0.5000 0.5000 0.5000  0.30

Values from the calculation:
DFT total energy in eV/atom: -7.155
Density of states at the Fermi level in states/eV/f.u.: 8.7